# 1
The following is a PBE calculation of a relaxed BaZn2Br2 crystal, from Alexandria.

Values from the calculation:
ΔE_f (raw): -0.7464 eV per atom
ΔE to the lowest computed polymorph: 0.205 eV per atom

a = 8.3648 Å, b = 8.3648 Å, c = 5.8401 Å
α = 90.00°, β = 90.00°, γ = 90.00°
Space group P4/mbm (No. 127)
Unique sites:
Ba1 0.0000 0.0000 0.0000 (multiplicity 2)
Zn1 0.1170 0.3830 0.5000 (multiplicity 4)
Br1 0.1619 0.6619 0.0000 (multiplicity 4)



# 2
The following is a PBE calculation of a relaxed Ba2Zn2Br crystal, from Alexandria.

Values from the calculation:
ΔE_f (raw): -0.6130 eV per atom
ΔE to the lowest computed polymorph: 0.210 eV per atom

a = 9.2535 Å, b = 9.2535 Å, c = 4.4710 Å
α = 90.00°, β = 90.00°, γ = 90.00°
Space group P4/mbm (No. 127)
Unique sites:
Ba1 0.1994 0.3006 0.0000 (multiplicity 4)
Zn1 0.0924 0.5924 0.5000 (multiplicity 4)
Br1 0.0000 0.0000 0.0000 (multiplicity 2)



Copy entry 2 word for word.
The following is a PBE calculation of a relaxed Ba2Zn2Br crystal, from Alexandria.

Values from the calculation:
ΔE_f (raw): -0.6130 eV per atom
ΔE to the lowest computed polymorph: 0.210 eV per atom

a = 9.2535 Å, b = 9.2535 Å, c = 4.4710 Å
α = 90.00°, β = 90.00°, γ = 90.00°
Space group P4/mbm (No. 127)
Unique sites:
Ba1 0.1994 0.3006 0.0000 (multiplicity 4)
Zn1 0.0924 0.5924 0.5000 (multiplicity 4)
Br1 0.0000 0.0000 0.0000 (multiplicity 2)



Question: Among the records above, which one has the lowest ΔE_f (raw)?
Answer: BaZn2Br2



Question: Which of these has the highest ΔE_f (raw)?
Answer: Ba2Zn2Br



Repeat the second record exactly.
The following is a PBE calculation of a relaxed Ba2Zn2Br crystal, from Alexandria.

Values from the calculation:
ΔE_f (raw): -0.6130 eV per atom
ΔE to the lowest computed polymorph: 0.210 eV per atom

a = 9.2535 Å, b = 9.2535 Å, c = 4.4710 Å
α = 90.00°, β = 90.00°, γ = 90.00°
Space group P4/mbm (No. 127)
Unique sites:
Ba1 0.1994 0.3006 0.0000 (multiplicity 4)
Zn1 0.0924 0.5924 0.5000 (multiplicity 4)
Br1 0.0000 0.0000 0.0000 (multiplicity 2)